Ba2SiMo: relaxed, GGA-PBE. Values from VASP.

Cell and atoms, written as Quantum ESPRESSO input:
```
&SYSTEM
  ibrav = 0, nat = 4, ntyp = 3
/
ATOMIC_SPECIES
Ba 137.33 Ba.upf
Si 28.09 Si.upf
Mo 95.94 Mo.upf
ATOMIC_POSITIONS angstrom
Ba 1.8016 1.8087 2.3800
Ba 5.4048 5.4260 7.1400
Si 0.0000 0.0000 0.0000
Mo 3.6032 3.6173 4.7600
CELL_PARAMETERS angstrom
0.0000 3.6173 4.7600
3.6032 0.0000 4.7600
3.6032 3.6173 0.0000
```

Summary:
As for the total magnetization: 3.7 μB per formula unit. The symmetry is Fmmm (69). As for the crystal system: orthorhombic. The uncorrected formation energy is 783 meV/atom.